Model A:
The following is a DFT calculation (PBE) of HfGaCuP2 after structural relaxation.

Lattice parameters (Å, degrees): 4.545 5.115 4.545 90.00 90.00 90.00
Atoms (fractional coordinates):
P 0.000 0.000 0.500
P 0.500 0.000 0.000
Ga 0.000 0.000 0.000
Hf 0.000 0.500 0.000
Cu 0.500 0.500 0.500

=====

Model B:
The following is a DFT calculation (PBE) of HfGaCuP2 after structural relaxation.

Lattice parameters (Å, degrees): 4.338 5.100 4.338 90.00 90.00 90.00
Atoms (fractional coordinates):
Cu 0.000 0.000 0.000
P 0.500 0.000 0.000
P 0.000 0.000 0.500
Ga 0.500 0.500 0.500
Hf 0.000 0.500 0.000

=====

So which one wins? Going from most stable to least: model B, model A.